--- A ---
Re2Os2Pt, optimized geometry, DFT PBE; total moment = 0.00 μB per cell
1.0
2.164 -5.313 2.525
-1.009 -2.204 5.780
-2.810 2.422 -5.052
Pt Os Re
1 2 2
Cartesian
0.000 0.000 0.000 Pt
0.701 -4.568 5.047 Os
0.453 -2.949 3.259 Os
-0.035 -3.325 0.813 Re
-1.621 -1.770 2.440 Re


--- B ---
Re2Os2Pt, optimized geometry, DFT PBE; total moment = 0.00 μB per cell
1.0
7.521 0.000 0.000
0.000 7.521 0.000
0.000 0.000 2.766
Re Pt Os
4 2 4
Cartesian
1.249 5.010 1.383 Re
2.511 1.249 1.383 Re
6.271 2.511 1.383 Re
5.010 6.271 1.383 Re
3.760 3.760 0.000 Pt
0.000 0.000 0.000 Pt
6.566 4.714 0.000 Os
4.714 0.954 0.000 Os
0.954 2.806 0.000 Os
2.806 6.566 0.000 Os


Relative energies, in meV per atom, with the most stable structure set to zero: A 371; B 0.


--- A ---
OsPtRh, optimized geometry, DFT PBE; total moment = 0.00 μB per cell
1.0
-0.962 1.460 4.047
-3.081 0.053 -3.153
-0.761 -2.449 0.702
Pt Rh Os
1 1 1
Cartesian
-2.375 0.522 -0.753 Pt
-1.669 0.991 1.647 Rh
-0.381 -1.225 0.351 Os


--- B ---
OsPtRh, optimized geometry, DFT PBE; total moment = 0.00 μB per cell
1.0
-1.158 -1.875 5.816
-0.285 -4.165 4.610
2.428 0.285 1.217
Os Rh Pt
1 1 1
Cartesian
2.410 0.256 1.259 Os
-0.122 -3.881 7.282 Rh
1.124 -1.845 4.318 Pt


Relative energies, in meV per atom, with the most stable structure set to zero: A 285; B 0.


--- A ---
OsPtRh, optimized geometry, DFT PBE; total moment = 0.00 μB per cell
1.0
-2.602 0.854 -0.118
0.953 -1.754 -1.879
-1.885 -5.206 3.905
Rh Os Pt
1 1 1
Cartesian
-1.509 -4.412 1.354 Rh
-1.871 -5.168 3.876 Os
-2.039 -1.732 0.583 Pt


--- B ---
OsPtRh, optimized geometry, DFT PBE; total moment = 0.00 μB per cell
1.0
0.000 2.982 2.982
2.982 0.000 2.982
2.982 2.982 0.000
Os Rh Pt
1 1 1
Cartesian
1.491 1.491 1.491 Os
2.982 2.982 2.982 Rh
0.000 0.000 0.000 Pt


--- C ---
OsPtRh, optimized geometry, DFT PBE; total moment = 0.00 μB per cell
1.0
-1.793 0.790 -1.901
1.814 -0.587 -1.954
-4.224 -11.038 -0.604
Rh Os Pt
2 2 2
Cartesian
-4.107 -7.994 -1.409 Rh
-0.107 -2.942 -1.122 Rh
-2.978 -10.443 -1.532 Os
-1.236 -0.493 -0.999 Os
-1.579 -6.789 -1.332 Pt
-2.635 -4.147 -1.199 Pt


--- D ---
OsPtRh, optimized geometry, DFT PBE; total moment = 0.00 μB per cell
1.0
-2.430 -2.610 3.133
-3.359 -2.989 -1.521
4.580 1.232 -0.198
Pt Rh Os
1 1 1
Cartesian
-1.942 -1.879 0.541 Pt
-3.828 -3.703 1.066 Rh
-0.018 -0.018 0.005 Os


Relative energies, in meV per atom, with the most stable structure set to zero: A 50; B 673; C 0; D 55.


--- A ---
Os2PtRh, optimized geometry, DFT PBE; total moment = 0.00 μB per cell
1.0
-0.923 -1.338 2.198
0.721 -2.377 -1.144
7.061 0.552 3.301
Os Rh Pt
2 1 1
Cartesian
1.594 -1.725 1.320 Os
0.025 0.002 0.012 Os
5.264 -1.438 3.036 Rh
3.507 0.274 1.640 Pt


--- B ---
Os2PtRh, optimized geometry, DFT PBE; total moment = 0.00 μB per cell
1.0
-1.921 1.921 3.945
1.921 -1.921 3.945
1.921 1.921 -3.945
Rh Os Pt
1 2 1
Cartesian
0.000 0.000 0.000 Rh
1.921 0.000 1.973 Os
0.000 1.921 1.973 Os
0.000 0.000 3.945 Pt


Relative energies, in meV per atom, with the most stable structure set to zero: A 0; B 144.


--- A ---
Os2PtRh, optimized geometry, DFT PBE; total moment = 0.00 μB per cell
1.0
-0.441 -4.309 -0.723
-3.991 -1.727 -0.610
-1.182 -1.450 -3.973
Rh Pt Os
1 1 2
Cartesian
0.000 0.000 0.000 Rh
-2.807 -3.743 -2.653 Pt
-4.211 -5.615 -3.980 Os
-1.404 -1.872 -1.327 Os


--- B ---
Os2PtRh, optimized geometry, DFT PBE; total moment = 0.00 μB per cell
1.0
9.088 -1.364 0.006
9.088 1.364 0.006
8.881 0.000 2.359
Os Rh Pt
2 1 1
Cartesian
6.707 0.000 0.587 Os
20.349 0.000 1.782 Os
13.528 0.000 1.185 Rh
0.000 0.000 0.000 Pt


Relative energies, in meV per atom, with the most stable structure set to zero: A 520; B 0.


--- A ---
Os2PtRh, optimized geometry, DFT PBE; total moment = 0.00 μB per cell
1.0
-1.841 1.716 -0.979
-0.993 -2.637 -2.755
-2.986 -2.011 5.819
Os Pt Rh
2 1 1
Cartesian
-2.351 1.085 -0.191 Os
-2.650 -1.497 -0.431 Os
-3.838 -2.497 3.773 Pt
-3.224 -0.779 1.907 Rh


--- B ---
Os2PtRh, optimized geometry, DFT PBE; total moment = 0.00 μB per cell
1.0
-1.137 -2.013 1.466
3.410 -1.810 0.161
1.215 2.703 4.654
Os Pt Rh
2 1 1
Cartesian
0.011 0.024 0.041 Os
1.422 -1.276 1.908 Os
0.608 1.352 2.328 Pt
2.055 0.132 4.332 Rh


Relative energies, in meV per atom, with the most stable structure set to zero: A 403; B 0.


--- A ---
OsPt3Rh6, optimized geometry, DFT PBE; total moment = 0.00 μB per cell
1.0
4.478 0.000 0.000
0.000 6.714 -2.804
0.000 -0.360 9.907
Os Rh Pt
2 12 6
Cartesian
1.120 6.286 2.886 Os
3.359 0.068 4.217 Os
3.359 2.077 2.390 Rh
3.359 4.775 3.201 Rh
1.120 1.074 1.186 Rh
1.120 1.579 3.902 Rh
1.120 5.761 0.249 Rh
3.359 6.238 -1.267 Rh
1.120 0.116 8.371 Rh
1.120 4.277 4.713 Rh
1.120 3.095 -0.640 Rh
3.359 3.259 7.743 Rh
3.359 5.280 5.917 Rh
3.359 0.593 6.854 Rh
3.359 1.537 -0.331 Pt
3.359 4.195 0.514 Pt
1.120 3.658 2.073 Pt
1.120 2.159 6.589 Pt
3.359 2.696 5.030 Pt
1.120 4.817 7.434 Pt


--- B ---
OsPt3Rh6, optimized geometry, DFT PBE; total moment = 0.00 μB per cell
1.0
5.108 0.000 0.000
-2.554 4.424 0.000
0.000 0.000 6.921
Os Rh Pt
1 6 3
Cartesian
0.000 0.000 0.000 Os
1.509 2.614 5.637 Rh
3.019 0.000 1.284 Rh
2.090 0.000 5.637 Rh
1.045 1.810 1.284 Rh
-1.045 1.810 5.637 Rh
-1.509 2.614 1.284 Rh
2.554 1.475 3.461 Pt
0.000 2.949 3.461 Pt
0.000 0.000 3.461 Pt


Relative energies, in meV per atom, with the most stable structure set to zero: A 0; B 304.


--- A ---
OsPtRh2, optimized geometry, DFT PBE; total moment = 0.00 μB per cell
1.0
-0.265 2.458 2.991
-1.324 -2.875 2.245
3.617 -0.862 1.029
Os Rh Pt
1 2 1
Cartesian
1.014 -0.640 3.133 Os
-0.662 -1.438 1.122 Rh
-0.133 1.229 1.496 Rh
1.809 -0.431 0.515 Pt


--- B ---
OsPtRh2, optimized geometry, DFT PBE; total moment = 0.65 μB per cell
1.0
9.145 0.007 0.004
8.734 2.714 0.004
8.734 1.329 2.366
Pt Rh Os
1 2 1
Cartesian
19.984 3.041 1.783 Pt
26.565 4.043 2.370 Rh
6.604 1.005 0.589 Rh
13.379 2.036 1.194 Os


--- C ---
OsPtRh2, optimized geometry, DFT PBE; total moment = 0.00 μB per cell
1.0
3.861 0.000 0.000
0.000 2.734 0.004
0.000 2.723 5.511
Pt Rh Os
1 2 1
Cartesian
1.931 4.092 4.136 Pt
0.000 2.730 2.698 Rh
0.000 2.732 0.063 Rh
1.931 1.364 1.379 Os


Relative energies, in meV per atom, with the most stable structure set to zero: A 106; B 60; C 0.


--- A ---
OsPtRh2, optimized geometry, DFT PBE; total moment = 0.00 μB per cell
1.0
2.735 0.000 0.000
0.000 2.735 0.000
0.000 0.000 7.780
Rh Pt Os
2 1 1
Cartesian
0.000 0.000 0.033 Rh
1.368 1.368 1.998 Rh
1.368 1.368 5.801 Pt
0.000 0.000 3.839 Os


--- B ---
OsPtRh2, optimized geometry, DFT PBE; total moment = 0.00 μB per cell
1.0
3.805 0.000 0.000
1.902 3.295 0.000
1.902 1.098 5.508
Pt Os Rh
1 1 2
Cartesian
3.805 2.197 0.033 Pt
3.805 2.197 2.683 Os
1.902 1.098 1.492 Rh
1.902 1.098 4.054 Rh


--- C ---
OsPtRh2, optimized geometry, DFT PBE; total moment = 0.00 μB per cell
1.0
-1.228 0.565 -2.370
-1.411 -2.328 0.176
-5.694 3.740 3.841
Rh Pt Os
2 1 1
Cartesian
-0.070 0.046 0.047 Rh
-2.777 1.824 1.873 Rh
-5.590 1.923 1.784 Pt
-2.743 0.053 -0.137 Os


--- D ---
OsPtRh2, optimized geometry, DFT PBE; total moment = 0.00 μB per cell
1.0
-3.647 2.385 1.898
-4.094 -2.123 -1.150
4.036 -1.668 1.876
Os Rh Pt
1 2 1
Cartesian
-1.964 -1.830 0.550 Os
-3.870 0.131 0.374 Rh
0.000 0.000 0.000 Rh
-1.741 0.424 2.074 Pt


Relative energies, in meV per atom, with the most stable structure set to zero: A 90; B 684; C 0; D 83.


--- A ---
OsPtRh2, optimized geometry, DFT PBE; total moment = 2.05 μB per cell
1.0
0.000 3.107 3.107
3.107 0.000 3.107
3.107 3.107 0.000
Rh Os Pt
2 1 1
Cartesian
1.554 1.554 1.554 Rh
4.661 4.661 4.661 Rh
0.000 0.000 0.000 Os
3.107 3.107 3.107 Pt


--- B ---
OsPtRh2, optimized geometry, DFT PBE; total moment = 0.00 μB per cell
1.0
-2.228 3.162 3.805
-2.150 -4.865 -1.073
0.333 -1.373 2.265
Os Rh Pt
1 2 1
Cartesian
0.000 0.000 0.000 Os
-1.075 -2.432 -0.536 Rh
-1.114 1.581 1.903 Rh
-2.189 -0.852 1.366 Pt


Relative energies, in meV per atom, with the most stable structure set to zero: A 121; B 0.


--- A ---
Os2PtRh2, optimized geometry, DFT PBE; total moment = 0.00 μB per cell
1.0
-2.224 1.204 -1.092
-0.250 -2.388 1.350
-1.659 5.522 9.464
Os Pt Rh
2 1 2
Cartesian
-2.409 3.805 9.098 Os
-1.724 0.533 0.623 Os
-0.830 2.761 4.732 Pt
-1.389 0.411 3.281 Rh
-2.744 3.927 6.441 Rh


--- B ---
Os2PtRh2, optimized geometry, DFT PBE; total moment = 0.00 μB per cell
1.0
0.410 4.075 5.454
-3.448 5.346 2.461
0.010 -6.274 -2.676
Rh Pt Os
2 1 2
Cartesian
-1.820 5.642 4.741 Rh
-1.219 3.778 3.175 Rh
0.000 0.000 0.000 Pt
-0.549 1.256 3.368 Os
-2.479 1.891 1.871 Os


Relative energies, in meV per atom, with the most stable structure set to zero: A 0; B 585.